9
Lattice="5.143 0.000 0.000 0.000 8.060 0.782 -2.572 -3.127 7.045" Properties=species:S:1:pos:R:3 comment="La2Sm3Y4, optimized geometry, DFT PBE-GGA" relative_energy_kj_per_mol_atoms=0.0 density_g_cm3=5.9 space_group="C2/m, No. 12" m_tot_mub_per_cell=0.00 dos_at_fermi_per_ev_cell=14.58 pbc="T T T"
La 2.572 7.016 3.121
La 0.000 -2.082 4.706
Sm 2.572 0.262 5.748
Sm 0.000 4.672 2.079
Sm 0.000 0.000 0.000
Y 2.572 3.609 4.434
Y 2.572 2.365 1.059
Y 0.000 1.324 3.392
Y 0.000 2.568 6.767